1.
PBE-GGA PaInAs, relaxed; calculated volume = 28.2 Å³/atom; energy of formation = -96 kJ/mol of formula units; raw total energy = -5.9605 eV/atom; ρ = 8.27 g cm⁻³; DOS at the Fermi energy = 0.23 states/eV per atom
1.0
-4.287 -1.976 0.548
-0.374 -4.646 0.928
-1.240 -0.539 8.967
As In Pa
2 2 2
Direct
0.378 0.378 0.866 As
0.622 0.622 0.134 As
0.860 0.860 0.420 In
0.140 0.140 0.580 In
0.733 0.733 0.802 Pa
0.267 0.267 0.198 Pa

2.
PBE-GGA PaInAs2, relaxed; calculated volume = 21.2 Å³/atom; energy of formation = -231 kJ/mol of formula units; raw total energy = -5.9830 eV/atom; ρ = 9.71 g cm⁻³; DOS at the Fermi energy = 0.63 states/eV per atom; distance to the lowest polymorph of the same formula = 0.000 eV/atom
1.0
-1.505 -1.040 3.323
-3.705 -1.869 -2.263
2.257 -4.144 -0.274
In As Pa
1 2 1
Direct
0.500 0.500 0.500 In
0.000 0.000 0.500 As
0.000 0.500 0.000 As
0.500 0.000 0.000 Pa

3.
PBE-GGA PaInAs2, relaxed; calculated volume = 33.0 Å³/atom; energy of formation = -112 kJ/mol of formula units; raw total energy = -5.6747 eV/atom; ρ = 6.23 g cm⁻³; DOS at the Fermi energy = 0.47 states/eV per atom; distance to the lowest polymorph of the same formula = 0.308 eV/atom
1.0
4.198 0.000 0.000
2.099 3.636 0.000
2.099 1.212 8.652
In As Pa
1 2 1
Direct
0.000 0.000 0.000 In
0.890 0.890 0.329 As
0.110 0.110 0.671 As
0.500 0.500 0.500 Pa

4.
PBE-GGA Pa2InAs, relaxed; calculated volume = 25.8 Å³/atom; energy of formation = -125 kJ/mol of formula units; raw total energy = -6.9178 eV/atom; ρ = 10.49 g cm⁻³; DOS at the Fermi energy = 1.14 states/eV per atom; distance to the lowest polymorph of the same formula = 0.057 eV/atom
1.0
3.648 0.000 0.000
1.824 3.159 0.000
1.824 1.053 8.952
Pa In As
2 1 1
Direct
0.738 0.738 0.786 Pa
0.262 0.262 0.214 Pa
0.500 0.500 0.500 In
0.000 0.000 0.000 As

5.
PBE-GGA Pa2InAs, relaxed; calculated volume = 23.8 Å³/atom; energy of formation = -147 kJ/mol of formula units; raw total energy = -6.9746 eV/atom; ρ = 11.39 g cm⁻³; DOS at the Fermi energy = 1.82 states/eV per atom; distance to the lowest polymorph of the same formula = 0.000 eV/atom
1.0
3.426 0.000 0.000
0.000 3.426 0.000
0.000 0.000 8.101
As Pa In
1 2 1
Direct
0.500 0.500 0.000 As
0.000 0.000 0.218 Pa
0.000 0.000 0.782 Pa
0.500 0.500 0.500 In

6.
PBE-GGA PaInAs2, relaxed; calculated volume = 26.6 Å³/atom; energy of formation = -192 kJ/mol of formula units; raw total energy = -5.8815 eV/atom; ρ = 7.73 g cm⁻³; DOS at the Fermi energy = 0.02 states/eV per atom; distance to the lowest polymorph of the same formula = 0.101 eV/atom
1.0
-0.075 3.599 2.361
-3.355 2.683 -0.273
-4.170 -1.190 5.605
In As Pa
1 2 1
Direct
0.495 0.495 0.514 In
0.076 0.076 0.772 As
0.266 0.266 0.201 As
0.663 0.663 0.012 Pa

7.
PBE-GGA In2AsPb, relaxed; calculated volume = 26.6 Å³/atom; energy of formation = 72 kJ/mol of formula units; raw total energy = -3.2709 eV/atom; ρ = 7.99 g cm⁻³; DOS at the Fermi energy = 1.03 states/eV per atom; distance to the lowest polymorph of the same formula = 0.200 eV/atom
1.0
5.318 0.000 0.000
2.659 4.606 0.000
2.659 1.535 4.342
Pb As In
1 1 2
Direct
0.500 0.500 0.500 Pb
0.000 0.000 0.000 As
0.250 0.250 0.250 In
0.750 0.750 0.750 In

8.
PBE-GGA In2AsPb, relaxed; calculated volume = 28.1 Å³/atom; energy of formation = 4 kJ/mol of formula units; raw total energy = -3.4495 eV/atom; ρ = 7.57 g cm⁻³; DOS at the Fermi energy = 0.43 states/eV per atom; distance to the lowest polymorph of the same formula = 0.022 eV/atom
1.0
-4.009 0.221 0.361
-2.147 -3.338 0.707
-1.281 0.129 8.210
In Pb As
2 1 1
Direct
0.266 0.266 0.202 In
0.068 0.068 0.797 In
0.500 0.500 0.501 Pb
0.667 0.667 0.000 As

9.
PBE-GGA In2AsPb2, relaxed; calculated volume = 29.5 Å³/atom; energy of formation = 93 kJ/mol of formula units; raw total energy = -3.3157 eV/atom; ρ = 8.09 g cm⁻³; DOS at the Fermi energy = 0.69 states/eV per atom; distance to the lowest polymorph of the same formula = 0.069 eV/atom
1.0
4.099 0.000 0.000
0.000 4.099 0.000
2.049 2.049 8.787
As Pb In
1 2 2
Direct
0.000 0.000 0.000 As
0.410 0.410 0.179 Pb
0.590 0.590 0.821 Pb
0.750 0.250 0.500 In
0.250 0.750 0.500 In

10.
PBE-GGA InAsPb3, relaxed; calculated volume = 36.7 Å³/atom; energy of formation = 334 kJ/mol of formula units; raw total energy = -3.0100 eV/atom; ρ = 7.34 g cm⁻³; DOS at the Fermi energy = 0.59 states/eV per atom; distance to the lowest polymorph of the same formula = 0.309 eV/atom
1.0
5.683 0.000 0.000
0.000 5.683 0.000
0.000 0.000 5.683
Pb In As
3 1 1
Direct
0.000 0.000 0.500 Pb
0.500 0.000 0.000 Pb
0.000 0.500 0.000 Pb
0.000 0.000 0.000 In
0.500 0.500 0.500 As

11.
PBE-GGA In2As2Pb, relaxed; calculated volume = 25.0 Å³/atom; energy of formation = 23 kJ/mol of formula units; raw total energy = -3.6501 eV/atom; ρ = 7.79 g cm⁻³; DOS at the Fermi energy = 0.40 states/eV per atom; distance to the lowest polymorph of the same formula = 0.000 eV/atom
1.0
-0.434 6.165 -5.348
-7.230 2.194 3.116
1.735 2.244 2.446
Pb As In
2 4 4
Direct
0.000 0.000 0.000 Pb
0.500 0.500 0.000 Pb
0.154 0.346 0.000 As
0.346 0.846 0.000 As
0.846 0.654 0.000 As
0.654 0.154 0.000 As
0.855 0.355 0.500 In
0.145 0.645 0.500 In
0.355 0.145 0.500 In
0.645 0.855 0.500 In

12.
PBE-GGA In2AsPb, relaxed; calculated volume = 26.6 Å³/atom; energy of formation = 42 kJ/mol of formula units; raw total energy = -3.3509 eV/atom; ρ = 7.98 g cm⁻³; DOS at the Fermi energy = 0.36 states/eV per atom; distance to the lowest polymorph of the same formula = 0.120 eV/atom
1.0
-1.915 -1.844 -2.118
3.102 -1.348 -0.334
-1.893 -6.094 7.018
In As Pb
2 1 1
Direct
0.000 0.000 0.967 In
0.000 0.000 0.533 In
0.500 0.500 0.750 As
0.500 0.500 0.250 Pb